DFT (PBE-GGA) results for an optimized crystal structure of SiIBr.

Lattice parameters (Å, degrees): 8.376 4.812 8.390 90.00 90.96 90.00
Space group Pm (No. 6)
One atom of each set of equivalent atoms:
Si: 0.000 0.000 0.000
Si: 0.048 0.500 0.047
I: 0.201 0.500 0.307
I: 0.741 0.000 0.847
Br: 0.082 0.500 0.767
Br: 0.282 0.000 0.966

## Properties
Raw formation energy   -0.09 eV/atom
V   56.4 Å³ per atom
Uncorrected energy   -2.9697 eV per atom


DFT (PBE-GGA) results for an optimized crystal structure of SiIBr2.

Lattice parameters (Å, degrees): 7.580 7.580 7.580 90.00 90.00 90.00
Space group Fm-3m (No. 225)
One atom of each set of equivalent atoms:
Si: 0.000 0.000 0.000
I: 0.000 0.000 0.500
Br: 0.250 0.250 0.250

## Properties
Raw formation energy   0.56 eV/atom
V   27.2 Å³ per atom
Uncorrected energy   -2.0196 eV per atom


DFT (PBE-GGA) results for an optimized crystal structure of SiIBr2.

Lattice parameters (Å, degrees): 8.109 8.109 11.412 90.00 90.00 90.00
Space group I-42d (No. 122)
One atom of each set of equivalent atoms:
Si: 0.000 0.000 0.000
I: 0.000 0.000 0.500
Br: 0.013 0.250 0.125

## Properties
Raw formation energy   0.09 eV/atom
V   46.9 Å³ per atom
Uncorrected energy   -2.4930 eV per atom


We obtain ΔE to the lowest computed polymorph values of 0.361, 0.615, 0.142 eV per atom for the records listed above, in that order.